Material: CrCo2Ru
Method: DFT, GGA-PBE
State: optimized geometry

The space group is Amm2 (No. 38) and the conventional cell measures 3.922, 2.568 and 9.393 Å, with angles of 90.00, 90.00 and 90.00 degrees. Symmetry generates all atoms from Cr at (0.000, 0.000, 0.000), Co at (0.000, 0.000, 0.269), Co at (0.500, 0.000, 0.871) and Ru at (0.500, 0.000, 0.613).

The value obtained for the uncorrected energy is -8.147 eV per atom. The value obtained for the formation energy is 0.131 eV/atom.